## ZrMo2As (GGA-PBE)

Data for a relaxed ZrMo2As crystal.

Properties
* formation energy: -14 kJ per mole of atoms
* SG: Pm (6)

```
ZrMo2As
1.0
3.278 0.000 0.000
0.000 4.365 0.000
-1.459 0.000 4.890
Zr Mo As
1 2 1
direct
0.000 0.000 0.000
0.275 0.500 0.591
0.649 0.000 0.477
0.568 0.500 0.150
```

=====

## MgHBrO (GGA-PBE)

Data for a relaxed MgHBrO crystal.

Properties
* SG: R3m (160)

```
MgHBrO
1.0
1.759 1.016 5.483
-1.759 1.016 5.483
0.000 -2.032 5.483
Mg H Br O
1 1 1 1
direct
0.000 0.000 0.000
0.229 0.229 0.229
0.777 0.777 0.777
0.288 0.288 0.288
```

=====

Computed values of energy (unit: eV per atom) for the preceding records, in sequence: -8.86; -4.51.